1.
VASP calculation (PBE) on crystalline Zn2TeSe at its relaxed geometry.

Cell and atoms, written as POSCAR:
```
Zn2TeSe
1.0
1.884 -2.474 0.000
1.884 2.474 0.000
0.000 0.000 9.602
Zn Te Se
2 1 1
Direct
0.000 0.000 0.000 Zn
0.500 0.500 0.199 Zn
0.000 0.000 0.453 Te
0.500 0.500 0.816 Se
```

Summary:
- distance to the lowest polymorph of the same formula (eV/f.u.) = 2.860
- formation energy from raw total energies (meV/atom) = 137.5
- DOS(E_F) (states/eV per cell) = 1.81
- symmetry = Cmm2, No. 35

=====

2.
VASP calculation (PBE) on crystalline Zn2TeSe at its relaxed geometry.

Cell and atoms, written as POSCAR:
```
Zn2TeSe
1.0
1.850 -4.465 0.000
1.850 4.465 0.000
0.000 0.000 7.471
Zn Te Se
2 1 1
Direct
0.000 0.000 0.231 Zn
0.000 0.000 0.769 Zn
0.500 0.500 0.500 Te
0.500 0.500 0.000 Se
```

Summary:
- distance to the lowest polymorph of the same formula (eV/f.u.) = 1.984
- formation energy from raw total energies (meV/atom) = -81.4
- DOS(E_F) (states/eV per cell) = 1.34
- symmetry = Cmmm, No. 65

=====

3.
VASP calculation (PBE) on crystalline ZnTe2Se at its relaxed geometry.

Cell and atoms, written as POSCAR:
```
ZnTe2Se
1.0
0.000 3.617 3.617
3.617 0.000 3.617
3.617 3.617 0.000
Zn Te Se
1 2 1
Direct
0.000 0.000 0.000 Zn
0.250 0.250 0.250 Te
0.750 0.750 0.750 Te
0.500 0.500 0.500 Se
```

Summary:
- formation energy from raw total energies (meV/atom) = 349.8
- DOS(E_F) (states/eV per cell) = 2.94
- symmetry = Fm-3m, No. 225

=====

4.
VASP calculation (PBE) on crystalline Zn2TeSe at its relaxed geometry.

Cell and atoms, written as POSCAR:
```
Zn2TeSe
1.0
3.357 -1.945 0.000
3.357 1.945 0.000
-2.206 0.000 6.619
Zn Te Se
2 1 1
Direct
0.242 0.242 0.227 Zn
0.758 0.758 0.773 Zn
0.000 0.000 0.500 Te
0.500 0.500 0.000 Se
```

Summary:
- distance to the lowest polymorph of the same formula (eV/f.u.) = 1.195
- formation energy from raw total energies (meV/atom) = -278.6
- DOS(E_F) (states/eV per cell) = 1.07
- symmetry = C2/m, No. 12

=====

5.
VASP calculation (PBE) on crystalline Zn2TeSe at its relaxed geometry.

Cell and atoms, written as POSCAR:
```
Zn2TeSe
1.0
4.859 0.000 0.000
0.000 4.859 0.000
0.000 0.000 3.559
Zn Te Se
2 1 1
Direct
0.000 0.500 0.000 Zn
0.500 0.000 0.000 Zn
0.000 0.000 0.500 Te
0.500 0.500 0.500 Se
```

Summary:
- distance to the lowest polymorph of the same formula (eV/f.u.) = 3.020
- formation energy from raw total energies (meV/atom) = 177.6
- DOS(E_F) (states/eV per cell) = 2.25
- symmetry = P4/mmm, No. 123

=====

6.
VASP calculation (PBE) on crystalline ZnTe2Se at its relaxed geometry.

Cell and atoms, written as POSCAR:
```
ZnTe2Se
1.0
1.874 1.082 9.451
-1.874 1.082 9.451
0.000 -2.164 9.451
Zn Te Se
1 2 1
Direct
0.000 0.000 0.000 Zn
0.093 0.093 0.093 Te
0.907 0.907 0.907 Te
0.500 0.500 0.500 Se
```

Summary:
- formation energy from raw total energies (meV/atom) = 346.1
- DOS(E_F) (states/eV per cell) = 3.61
- symmetry = R-3m, No. 166

=====

7.
VASP calculation (PBE) on crystalline ZnTe2Se at its relaxed geometry.

Cell and atoms, written as POSCAR:
```
ZnTe2Se
1.0
-1.919 1.936 8.990
1.919 -1.936 8.990
1.919 1.936 -8.990
Zn Te Se
1 2 1
Direct
0.000 0.000 0.000 Zn
0.494 0.494 0.000 Te
0.763 0.263 0.500 Te
0.217 0.717 0.500 Se
```

Summary:
- formation energy from raw total energies (meV/atom) = 65.1
- DOS(E_F) (states/eV per cell) = 1.20
- symmetry = Imm2, No. 44

=====

8.
VASP calculation (PBE) on crystalline ZnTeSe4 at its relaxed geometry.

Cell and atoms, written as POSCAR:
```
ZnTeSe4
1.0
0.000 4.082 4.082
4.082 0.000 4.082
4.082 4.082 0.000
Zn Te Se
1 1 4
Direct
0.000 0.000 0.000 Zn
0.750 0.750 0.750 Te
0.373 0.373 0.373 Se
0.373 0.373 0.880 Se
0.373 0.880 0.373 Se
0.880 0.373 0.373 Se
```

Summary:
- formation energy from raw total energies (meV/atom) = 617.1
- DOS(E_F) (states/eV per cell) = 5.29
- symmetry = F-43m, No. 216

=====

9.
VASP calculation (PBE) on crystalline Zr2TeSe3 at its relaxed geometry.

Cell and atoms, written as POSCAR:
```
Zr2TeSe3
1.0
7.599 -1.919 0.000
7.599 1.919 0.000
-5.758 0.000 12.001
Zr Te Se
4 2 6
Direct
0.249 0.249 0.123 Zr
0.250 0.250 0.622 Zr
0.750 0.750 0.378 Zr
0.751 0.751 0.877 Zr
0.111 0.111 0.722 Te
0.889 0.889 0.278 Te
0.137 0.137 0.235 Se
0.364 0.364 0.012 Se
0.366 0.366 0.517 Se
0.634 0.634 0.483 Se
0.636 0.636 0.988 Se
0.863 0.863 0.765 Se
```

Summary:
- formation energy from raw total energies (meV/atom) = -1220.0
- DOS(E_F) (states/eV per cell) = 1.58
- symmetry = C2/m, No. 12

=====

10.
VASP calculation (PBE) on crystalline Zr2Te2Se at its relaxed geometry.

Cell and atoms, written as POSCAR:
```
Zr2Te2Se
1.0
7.834 0.000 0.000
0.000 7.834 0.000
0.000 0.000 3.885
Zr Te Se
4 4 2
Direct
0.146 0.354 0.000 Zr
0.354 0.854 0.000 Zr
0.646 0.146 0.000 Zr
0.854 0.646 0.000 Zr
0.145 0.645 0.500 Te
0.355 0.145 0.500 Te
0.645 0.855 0.500 Te
0.855 0.355 0.500 Te
0.000 0.000 0.000 Se
0.500 0.500 0.000 Se
```

Summary:
- distance to the lowest polymorph of the same formula (eV/f.u.) = 0.910
- formation energy from raw total energies (meV/atom) = -833.4
- DOS(E_F) (states/eV per cell) = 6.96
- symmetry = P4/mbm, No. 127

=====

11.
VASP calculation (PBE) on crystalline ZrTeSe at its relaxed geometry.

Cell and atoms, written as POSCAR:
```
ZrTeSe
1.0
0.000 3.374 3.374
3.374 0.000 3.374
3.374 3.374 0.000
Zr Te Se
1 1 1
Direct
0.000 0.000 0.000 Zr
0.500 0.500 0.500 Te
0.250 0.250 0.250 Se
```

Summary:
- distance to the lowest polymorph of the same formula (eV/f.u.) = 2.732
- formation energy from raw total energies (meV/atom) = -199.1
- DOS(E_F) (states/eV per cell) = 0.93
- symmetry = F-43m, No. 216

=====

12.
VASP calculation (PBE) on crystalline ZrTeSe at its relaxed geometry.

Cell and atoms, written as POSCAR:
```
ZrTeSe
1.0
-1.818 1.818 5.185
1.818 -1.818 5.185
1.818 1.818 -5.185
Zr Te Se
1 1 1
Direct
0.000 0.000 0.000 Zr
0.674 0.674 0.000 Te
0.381 0.381 0.000 Se
```

Summary:
- distance to the lowest polymorph of the same formula (eV/f.u.) = 0.783
- formation energy from raw total energies (meV/atom) = -848.9
- DOS(E_F) (states/eV per cell) = 1.10
- symmetry = I4mm, No. 107